[1]
{
  "formula": "CrCoOs2",
  "functional": "PBE-GGA",
  "state": "relaxed",
  "formation_enthalpy_0k_ev_per_atom": 0.15,
  "space_group": "R-3m",
  "lattice": [[-4.984, -1.917, -6.816], [-6.744, -2.392, -4.876], [-6.423, 0.082, -5.807]],
  "species": ["Os", "Co", "Cr", "Os"],
  "fractional_positions": [[0.500, 0.500, 0.500], [0.250, 0.250, 0.250], [0.750, 0.750, 0.750], [0.000, 0.000, 0.000]]
}

=====

[2]
{
  "formula": "CrCoOs2",
  "functional": "PBE-GGA",
  "state": "relaxed",
  "formation_enthalpy_0k_ev_per_atom": 0.24,
  "space_group": "P4mm",
  "lattice": [[2.957, 0.000, 0.000], [0.000, 2.957, 0.000], [0.000, 0.000, 5.851]],
  "species": ["Os", "Os", "Co", "Cr"],
  "fractional_positions": [[0.000, 0.000, 0.980], [0.500, 0.500, 0.275], [0.000, 0.000, 0.543], [0.500, 0.500, 0.703]]
}

=====

[3]
{
  "formula": "Cr2CoOs",
  "functional": "PBE-GGA",
  "state": "relaxed",
  "formation_enthalpy_0k_ev_per_atom": 0.26,
  "space_group": "Cmm2",
  "lattice": [[2.564, -0.006, 0.000], [-0.953, 2.380, 0.000], [0.000, 0.000, 8.128]],
  "species": ["Cr", "Os", "Co", "Cr"],
  "fractional_positions": [[0.500, 0.500, 0.236], [0.000, 0.000, 0.497], [0.500, 0.500, 0.764], [0.000, 0.000, 0.003]]
}